# CaIn3Pb3, relaxed, DFT PBE
# Calculated formation energy in eV/atom: 0.2825
# Space-group type: Pm-3n
data_CaIn3Pb3
_chemical_formula_sum 'Ca2 In6 Pb6'
_space_group_name_H-M_alt 'P 1'
_space_group_IT_number 1
_space_group_name_Hall 'P 1'
_cell_length_a 8.275
_cell_length_b 8.275
_cell_length_c 8.275
_cell_angle_alpha 90.00
_cell_angle_beta 90.00
_cell_angle_gamma 90.00
loop_
_atom_site_label
_atom_site_type_symbol
_atom_site_fract_x
_atom_site_fract_y
_atom_site_fract_z
_atom_site_occupancy
Ca1 Ca 0.000 0.000 0.000 1
Ca2 Ca 0.500 0.500 0.500 1
In1 In 0.000 0.250 0.500 1
In2 In 0.000 0.750 0.500 1
In3 In 0.250 0.500 0.000 1
In4 In 0.500 0.000 0.250 1
In5 In 0.500 0.000 0.750 1
In6 In 0.750 0.500 0.000 1
Pb1 Pb 0.000 0.500 0.250 1
Pb2 Pb 0.000 0.500 0.750 1
Pb3 Pb 0.250 0.000 0.500 1
Pb4 Pb 0.500 0.250 0.000 1
Pb5 Pb 0.500 0.750 0.000 1
Pb6 Pb 0.750 0.000 0.500 1